A geometry-optimized Al2ZnIn structure. Source: the Alexandria database, functional PBE.

Cell and atoms, written as POSCAR:
```
Al2ZnIn
1.0
-1.649 -1.710 -1.868
-1.168 -1.465 2.371
-6.151 5.519 0.379
Al Zn In
2 1 1
Direct
0.500 0.500 0.222 Al
0.000 0.000 0.994 Al
0.500 0.500 0.778 Zn
0.000 0.000 0.505 In
```

For the formation energy, the calculation gives 0.122 eV/atom. The electronic total energy comes out at -2.753 eV per atom. As for the symmetry: No. 99. The calculated volume is 75.6 Å³ per cell.